Below is an optimized crystal structure of Pr2ScSn3, with properties calculated at the GGA-PBE level.

Formation energy from the elements in meV per atom: -549
Magnetization in Bohr magnetons per cell: 0.00
Fermi-level density of states in states/eV/f.u.: 5.0

Structure (CIF):
```
data_Pr2ScSn3
_space_group_name_H-M_alt 'I m m m'
_space_group_IT_number 71
_space_group_name_Hall '-I 2 2'
_cell_length_a 5.088
_cell_length_b 6.301
_cell_length_c 11.279
_cell_angle_alpha 90.00
_cell_angle_beta 90.00
_cell_angle_gamma 90.00
loop_
_atom_site_label
_atom_site_fract_x
_atom_site_fract_y
_atom_site_fract_z
Pr1 0.000 0.000 0.180
Sc1 0.000 0.000 0.500
Sn1 0.000 0.500 0.137
Sn2 0.000 0.500 0.500
```